Record 1
! GGA-PBE Pr2Si6Rh9, optimized geometry; values from VASP
! VASP energy (eV per atom): -7.21
! SG: No. 191
! DOS at the Fermi energy (states/eV/f.u.): 2.1
! Raw formation energy (meV/atom): -843
&SYSTEM
  ibrav = 0, nat = 17, ntyp = 3
/
ATOMIC_SPECIES
Pr 140.91 Pr.upf
Si 28.09 Si.upf
Rh 102.91 Rh.upf
ATOMIC_POSITIONS crystal
Pr 0.000 0.000 0.695
Pr 0.000 0.000 0.305
Si 0.333 0.667 0.000
Si 0.667 0.333 0.000
Si 0.333 0.667 0.667
Si 0.667 0.333 0.667
Si 0.667 0.333 0.333
Si 0.333 0.667 0.333
Rh 0.500 0.000 0.834
Rh 0.000 0.500 0.834
Rh 0.500 0.500 0.834
Rh 0.500 0.000 0.166
Rh 0.000 0.500 0.166
Rh 0.500 0.500 0.166
Rh 0.500 0.000 0.500
Rh 0.000 0.500 0.500
Rh 0.500 0.500 0.500
CELL_PARAMETERS angstrom
5.694 0.000 0.000
-2.847 4.931 0.000
0.000 0.000 10.571

Record 2
! GGA-PBE PrSi3Rh, optimized geometry; values from VASP
! VASP energy (eV per atom): -6.43
! SG: No. 63
! DOS at the Fermi energy (states/eV/f.u.): 1.4
! Raw formation energy (meV/atom): -752
&SYSTEM
  ibrav = 0, nat = 10, ntyp = 3
/
ATOMIC_SPECIES
Pr 140.91 Pr.upf
Si 28.09 Si.upf
Rh 102.91 Rh.upf
ATOMIC_POSITIONS crystal
Pr 0.255 0.745 0.750
Pr 0.745 0.255 0.250
Si 0.763 0.763 0.000
Si 0.237 0.237 0.500
Si 0.371 0.629 0.250
Si 0.237 0.237 0.000
Si 0.629 0.371 0.750
Si 0.763 0.763 0.500
Rh 0.878 0.122 0.750
Rh 0.122 0.878 0.250
CELL_PARAMETERS angstrom
-0.022 4.294 -3.763
-0.330 -5.238 -2.250
-6.061 0.246 0.316